No. 1
VASP calculation (GGA-PBE) on a geometry-optimized Ce4InSn structure.

Values from the calculation:
Excess energy over the best structure of this formula in the dataset ... 0.0000 eV/atom
ΔE_f ... -0.32 eV/atom
Final energy ... -0.1984 hartree per atom
Space-group type ... No. 15

a = 6.260 Å, b = 7.881 Å, c = 7.881 Å
α = 112.94°, β = 102.31°, γ = 102.31°
Atoms (fractional coordinates):
Ce1 0.078 0.342 0.927
Ce2 0.831 0.791 0.558
Sn1 0.250 0.999 0.001
Sn2 0.750 0.001 0.999
In1 0.750 0.398 0.602
In2 0.250 0.602 0.398
Ce3 0.669 0.442 0.209
Ce4 0.422 0.073 0.658
Ce5 0.331 0.558 0.791
Ce6 0.169 0.209 0.442
Ce7 0.578 0.927 0.342
Ce8 0.922 0.658 0.073



No. 2
VASP calculation (GGA-PBE) on a geometry-optimized CeThNiIr structure.

Values from the calculation:
Excess energy over the best structure of this formula in the dataset ... 0.0000 eV/atom
ΔE_f ... -0.65 eV/atom
Final energy ... -0.2810 hartree per atom
Space-group type ... No. 38

a = 3.805 Å, b = 4.210 Å, c = 5.825 Å
α = 90.00°, β = 109.06°, γ = 90.00°
Atoms (fractional coordinates):
Ni1 0.590 0.500 0.180
Ir1 0.407 0.000 0.815
Ce1 0.866 0.500 0.732
Th1 0.137 0.000 0.273



No. 3
VASP calculation (GGA-PBE) on a geometry-optimized Rb3ZrPa2As6 structure.

Values from the calculation:
ΔE_f ... -0.73 eV/atom
Final energy ... -0.2054 hartree per atom
Space-group type ... No. 12

a = 7.308 Å, b = 7.308 Å, c = 8.371 Å
α = 98.37°, β = 98.37°, γ = 120.00°
Atoms (fractional coordinates):
As1 0.940 0.613 0.820
As2 0.733 0.733 0.180
Rb1 0.166 0.834 0.500
As3 0.060 0.387 0.180
As4 0.267 0.267 0.820
Pa1 0.333 0.667 0.000
As5 0.387 0.060 0.180
Pa2 0.667 0.333 0.000
Rb2 0.834 0.166 0.500
Rb3 0.500 0.500 0.500
Zr1 0.000 0.000 0.000
As6 0.613 0.940 0.820